First-principles (PBE) data for crystalline Bi4B at its relaxed geometry, as listed in Alexandria via LeMat-Bulk. Values from VASP.

Structure (Quantum ESPRESSO input):
```
&SYSTEM
  ibrav = 0, nat = 5, ntyp = 2
/
ATOMIC_SPECIES
Bi 208.98 Bi.upf
B 10.81 B.upf
ATOMIC_POSITIONS angstrom
Bi 0.000 0.000 0.000
Bi 0.000 2.581 2.581
Bi 2.581 0.000 2.581
Bi 2.581 2.581 0.000
B 2.581 2.581 2.581
CELL_PARAMETERS angstrom
5.162 0.000 0.000
0.000 5.162 0.000
0.000 0.000 5.162
```

Calculated values
The space-group type is Pm-3m, No. 221. Its calculated formation energy is 654 meV/atom. As for the total energy: -0.1392 Ha/atom. The calculation puts the total magnetization at 0.00 μB/f.u.